(1)
The following is a PBE calculation of a relaxed LaMg3Ni2 crystal, from Alexandria via LeMat-Bulk.

Structure (CIF):
```
data_LaMg3Ni2
_cell_length_a 16.3764
_cell_length_b 4.0005
_cell_length_c 8.6645
_cell_angle_alpha 90.00
_cell_angle_beta 119.86
_cell_angle_gamma 90.00
_symmetry_space_group_name_H-M 'C 1 2/m 1'
_symmetry_Int_Tables_number 12
loop_
_symmetry_equiv_pos_as_xyz
'x,y,z'
'-x,-y,-z'
'-x,y,-z'
'x,-y,z'
'x+1/2,y+1/2,z'
'-x+1/2,-y+1/2,-z'
'-x+1/2,y+1/2,-z'
'x+1/2,-y+1/2,z'
loop_
_atom_site_label
_atom_site_fract_x
_atom_site_fract_y
_atom_site_fract_z
_atom_site_occupancy
La1 0.1363 0.0000 0.1871 1
Mg1 0.0359 0.0000 0.6979 1
Mg2 0.1242 0.5000 0.5075 1
Mg3 0.1785 0.5000 0.9053 1
Ni1 0.0006 0.5000 0.8599 1
Ni2 0.2099 0.0000 0.7360 1
```

## Properties
E, eV/atom: -3.719
Energy of formation, eV/atom: -0.1736


(2)
The following is a PBE calculation of a relaxed SmDy3Th2As6 crystal, from Alexandria via LeMat-Bulk.

Structure (CIF):
```
data_SmDy3Th2As6
_cell_length_a 18.2074
_cell_length_b 4.1908
_cell_length_c 8.3451
_cell_angle_alpha 90.00
_cell_angle_beta 103.05
_cell_angle_gamma 90.00
_symmetry_space_group_name_H-M 'C 1 2/m 1'
_symmetry_Int_Tables_number 12
loop_
_symmetry_equiv_pos_as_xyz
'x,y,z'
'-x,-y,-z'
'-x,y,-z'
'x,-y,z'
'x+1/2,y+1/2,z'
'-x+1/2,-y+1/2,-z'
'-x+1/2,y+1/2,-z'
'x+1/2,-y+1/2,z'
loop_
_atom_site_label
_atom_site_fract_x
_atom_site_fract_y
_atom_site_fract_z
_atom_site_occupancy
Sm1 0.0000 0.0000 0.0000 1
Dy1 0.0000 0.0000 0.5000 1
Dy2 0.1657 0.5000 0.8339 1
Th1 0.1652 0.5000 0.3306 1
As1 0.0016 0.5000 0.7464 1
As2 0.1654 0.0000 0.5872 1
As3 0.1681 0.0000 0.0789 1
```

## Properties
E, eV/atom: -6.605
Energy of formation, eV/atom: -1.4997


(3)
The following is a PBE calculation of a relaxed Ca3LaTh2As6 crystal, from Alexandria via LeMat-Bulk.

Structure (CIF):
```
data_Ca3LaTh2As6
_cell_length_a 7.5047
_cell_length_b 12.9984
_cell_length_c 7.3252
_cell_angle_alpha 90.00
_cell_angle_beta 109.98
_cell_angle_gamma 90.00
_symmetry_space_group_name_H-M 'C 1 2/m 1'
_symmetry_Int_Tables_number 12
loop_
_symmetry_equiv_pos_as_xyz
'x,y,z'
'-x,-y,-z'
'-x,y,-z'
'x,-y,z'
'x+1/2,y+1/2,z'
'-x+1/2,-y+1/2,-z'
'-x+1/2,y+1/2,-z'
'x+1/2,-y+1/2,z'
loop_
_atom_site_label
_atom_site_fract_x
_atom_site_fract_y
_atom_site_fract_z
_atom_site_occupancy
Ca1 0.0000 0.0000 0.0000 1
Ca2 0.0000 0.3351 0.0000 1
La1 0.0000 0.5000 0.5000 1
Th1 0.0000 0.1668 0.5000 1
As1 0.2409 0.0000 0.7438 1
As2 0.2487 0.1701 0.2566 1
```

## Properties
E, eV/atom: -5.777
Energy of formation, eV/atom: -1.3043


(4)
The following is a PBE calculation of a relaxed Pu5Ge2As crystal, from Alexandria via LeMat-Bulk.

Structure (CIF):
```
data_Pu5Ge2As
_cell_length_a 7.8222
_cell_length_b 7.8222
_cell_length_c 12.4608
_cell_angle_alpha 90.00
_cell_angle_beta 90.00
_cell_angle_gamma 90.00
_symmetry_space_group_name_H-M 'I 4/m c m'
_symmetry_Int_Tables_number 140
_symmetry_space_group_name_Hall '-I 4 2c'
loop_
_atom_site_label
_atom_site_fract_x
_atom_site_fract_y
_atom_site_fract_z
_atom_site_occupancy
Pu1 0.0000 0.0000 0.0000 1
Pu2 0.1570 0.3430 0.1535 1
Ge1 0.1422 0.3578 0.5000 1
As1 0.0000 0.0000 0.2500 1
```

## Properties
E, eV/atom: -11.138
Energy of formation, eV/atom: -0.4450


(5)
The following is a PBE calculation of a relaxed Nd2DyRh crystal, from Alexandria via LeMat-Bulk.

Structure (CIF):
```
data_Nd2DyRh
_cell_length_a 3.9071
_cell_length_b 3.9071
_cell_length_c 28.0513
_cell_angle_alpha 90.00
_cell_angle_beta 90.00
_cell_angle_gamma 120.00
_symmetry_space_group_name_H-M 'R 3 m'
_symmetry_Int_Tables_number 160
_symmetry_space_group_name_Hall 'R 3 -2"'
loop_
_atom_site_label
_atom_site_fract_x
_atom_site_fract_y
_atom_site_fract_z
_atom_site_occupancy
Nd1 0.0000 0.0000 0.0000 1
Nd2 0.0000 0.0000 0.2112 1
Dy1 0.0000 0.0000 0.4395 1
Rh1 0.0000 0.0000 0.6052 1
```

## Properties
E, eV/atom: -5.619
Energy of formation, eV/atom: -0.2469
Offset from the most stable computed form, meV/atom: 203


(6)
The following is a PBE calculation of a relaxed SmS2 crystal, from Alexandria via LeMat-Bulk.

Structure (CIF):
```
data_SmS2
_cell_length_a 3.9285
_cell_length_b 3.9285
_cell_length_c 8.1400
_cell_angle_alpha 90.00
_cell_angle_beta 90.00
_cell_angle_gamma 90.00
_symmetry_space_group_name_H-M 'P 4/n m m'
_symmetry_Int_Tables_number 129
loop_
_symmetry_equiv_pos_as_xyz
'x,y,z'
'-x,-y,-z'
'-y+1/2,x,z'
'y+1/2,-x,-z'
'-x+1/2,-y+1/2,z'
'x+1/2,y+1/2,-z'
'y,-x+1/2,z'
'-y,x+1/2,-z'
'x+1/2,-y,-z'
'-x+1/2,y,z'
'-y,-x,-z'
'y,x,z'
'-x,y+1/2,-z'
'x,-y+1/2,z'
'y+1/2,x+1/2,-z'
'-y+1/2,-x+1/2,z'
loop_
_atom_site_label
_atom_site_fract_x
_atom_site_fract_y
_atom_site_fract_z
_atom_site_occupancy
Sm1 0.2500 0.2500 0.2261 1
S1 0.2500 0.2500 0.8675 1
S2 0.2500 0.7500 0.5000 1
```

## Properties
E, eV/atom: -5.997
E_form (uncorrected), eV per atom: -1.672


(7)
The following is a PBE calculation of a relaxed ErZr crystal, from Alexandria via LeMat-Bulk.

Structure (CIF):
```
data_ErZr
_cell_length_a 5.8214
_cell_length_b 3.3622
_cell_length_c 10.9677
_cell_angle_alpha 90.00
_cell_angle_beta 100.13
_cell_angle_gamma 90.00
_symmetry_space_group_name_H-M 'C 1 2/m 1'
_symmetry_Int_Tables_number 12
loop_
_symmetry_equiv_pos_as_xyz
'x,y,z'
'-x,-y,-z'
'-x,y,-z'
'x,-y,z'
'x+1/2,y+1/2,z'
'-x+1/2,-y+1/2,-z'
'-x+1/2,y+1/2,-z'
'x+1/2,-y+1/2,z'
loop_
_atom_site_label
_atom_site_fract_x
_atom_site_fract_y
_atom_site_fract_z
_atom_site_occupancy
Er1 0.1210 0.0000 0.3623 1
Zr1 0.2063 0.5000 0.1155 1
```

## Properties
E, eV/atom: -6.481
Energy of formation, eV/atom: 0.0744


(8)
The following is a PBE calculation of a relaxed IrWBr2 crystal, from Alexandria via LeMat-Bulk.

Structure (CIF):
```
data_IrWBr2
_cell_length_a 3.2268
_cell_length_b 3.2268
_cell_length_c 6.5774
_cell_angle_alpha 90.00
_cell_angle_beta 90.00
_cell_angle_gamma 90.00
_symmetry_space_group_name_H-M 'P 4/m m m'
_symmetry_Int_Tables_number 123
_symmetry_space_group_name_Hall '-P 4 2'
loop_
_atom_site_label
_atom_site_fract_x
_atom_site_fract_y
_atom_site_fract_z
_atom_site_occupancy
Ir1 0.0000 0.0000 0.0000 1
W1 0.0000 0.0000 0.5000 1
Br1 0.5000 0.5000 0.2626 1
```

## Properties
E, eV/atom: -4.930
Offset from the most stable computed form, meV/atom: 1289
E_form (uncorrected), eV per atom: 1.360